This record from the Alexandria database describes BaPb4Au after structural relaxation. The functional is PBE.

**DFT total energy**: -3.419 eV per atom
**ΔE to the lowest computed polymorph**: 0.091 eV per atom
**M_tot**: 0.0 μB/f.u.
**Energy of formation**: -1.9 kcal/mol of atoms

Unit cell a=9.2531 b=9.2531 c=9.2531 alpha=90.00 beta=90.00 gamma=90.00
Last column: nearest neighbours and their distance in Å.
Space group F-43m (No. 216)
One atom of each set of equivalent atoms:
Ba 0.0000 0.0000 0.0000 (multiplicity 4)  12 Pb 3.84, 4 Au 4.01
Pb 0.1246 0.1246 0.6246 (multiplicity 16)  6 Pb 3.26-3.28
Au 0.2500 0.2500 0.2500 (multiplicity 4)  12 Pb 3.83, 4 Ba 4.01